A geometry-optimized Sn3GeW structure, computed with PBE-GGA.

Cell and atoms, written as POSCAR:
```
Sn3GeW
1.0
-2.5663 4.1658 -1.5647
-2.3379 -2.7991 -3.6177
-3.7864 -1.0952 3.2942
Ge Sn W
1 3 1
direct
0.0000 0.0000 0.0000
0.0000 0.5000 0.0000
0.0000 0.0000 0.5000
0.5000 0.0000 0.0000
0.5000 0.5000 0.5000
```

Results
ΔE_f in eV per formula unit: 8.158
M_tot in μB per cell: 0.00
Space-group type: No. 221
Energy above the lowest structure with this stoichiometry in meV per atom: 892